{
  "formula": "Tb3Ga2Ge2",
  "functional": "PBE-GGA",
  "state": "optimized geometry",
  "final_energy_ev_per_atom": -4.9409,
  "sg": "Immm (71)",
  "dos_ef_per_ev_cell": 9.12,
  "lattice": [[4.014, 0.000, 0.000], [0.000, 4.282, 0.000], [0.000, 0.000, 18.316]],
  "species": ["Tb", "Tb", "Tb", "Tb", "Tb", "Tb", "Ga", "Ga", "Ga", "Ga", "Ge", "Ge", "Ge", "Ge"],
  "frac_coords": [[0.000, 0.000, 0.000], [0.000, 0.500, 0.315], [0.000, 0.500, 0.685], [0.500, 0.000, 0.185], [0.500, 0.000, 0.815], [0.500, 0.500, 0.500], [0.000, 0.000, 0.434], [0.000, 0.000, 0.566], [0.500, 0.500, 0.066], [0.500, 0.500, 0.934], [0.000, 0.500, 0.151], [0.000, 0.500, 0.849], [0.500, 0.000, 0.349], [0.500, 0.000, 0.651]]
}

=====

{
  "formula": "PmP2Pd2Pt",
  "functional": "PBE-GGA",
  "state": "optimized geometry",
  "final_energy_ev_per_atom": -6.0360,
  "sg": "Pnnm (58)",
  "dos_ef_per_ev_cell": 5.85,
  "lattice": [[6.476, 0.000, 0.000], [0.000, 8.446, 0.000], [0.000, 0.000, 4.188]],
  "species": ["Pm", "Pm", "P", "P", "P", "P", "Pd", "Pd", "Pd", "Pd", "Pt", "Pt"],
  "frac_coords": [[0.000, 0.000, 0.000], [0.500, 0.500, 0.500], [0.241, 0.190, 0.500], [0.259, 0.690, 0.000], [0.741, 0.310, 0.000], [0.759, 0.810, 0.500], [0.091, 0.708, 0.500], [0.409, 0.208, 0.000], [0.591, 0.792, 0.000], [0.909, 0.292, 0.500], [0.000, 0.500, 0.000], [0.500, 0.000, 0.500]]
}

=====

{
  "formula": "NaTeOsO6",
  "functional": "PBE-GGA",
  "state": "optimized geometry",
  "final_energy_ev_per_atom": -6.1770,
  "sg": "P312 (149)",
  "dos_ef_per_ev_cell": 4.14,
  "formation_energy_uncorrected_ev_per_atom": -1.1281,
  "lattice": [[5.321, 0.000, 0.000], [-2.661, 4.609, 0.000], [0.000, 0.000, 5.151]],
  "species": ["Na", "Te", "Os", "O", "O", "O", "O", "O", "O"],
  "frac_coords": [[0.000, 0.000, 0.000], [0.667, 0.333, 0.500], [0.333, 0.667, 0.500], [0.013, 0.377, 0.708], [0.013, 0.636, 0.292], [0.364, 0.377, 0.292], [0.364, 0.987, 0.708], [0.623, 0.636, 0.708], [0.623, 0.987, 0.292]]
}

=====

{
  "formula": "Ag2BiSbTe4",
  "functional": "PBE-GGA",
  "state": "optimized geometry",
  "final_energy_ev_per_atom": -3.3992,
  "sg": "P2/m (10)",
  "dos_ef_per_ev_cell": 1.88,
  "formation_energy_uncorrected_ev_per_atom": -0.1152,
  "lattice": [[7.445, 0.000, 0.000], [0.000, 4.394, 0.000], [-2.547, 0.000, 7.159]],
  "species": ["Ag", "Ag", "Bi", "Sb", "Te", "Te", "Te", "Te"],
  "frac_coords": [[0.000, 0.000, 0.000], [0.000, 0.500, 0.500], [0.500, 0.000, 0.500], [0.500, 0.500, 0.000], [0.234, 0.500, 0.241], [0.236, 0.000, 0.751], [0.764, 0.000, 0.249], [0.766, 0.500, 0.759]]
}